(1)
# BiBPt3 PBE-GGA optimized geometry
data_BiBPt3
_chemical_formula_sum 'Bi2 B2 Pt6'
_cell_length_a 4.737
_cell_length_b 4.737
_cell_length_c 8.603
_cell_angle_alpha 90.00
_cell_angle_beta 90.00
_cell_angle_gamma 120.00
_space_group_name_H-M_alt 'P 1'
_space_group_IT_number 1
loop_
_space_group_symop_operation_xyz
'x,y,z'
loop_
_atom_site_label
_atom_site_fract_x
_atom_site_fract_y
_atom_site_fract_z
Bi1 0.333 0.667 0.250
Bi2 0.667 0.333 0.750
B1 0.000 0.000 0.000
B2 0.000 0.000 0.500
Pt1 0.000 0.000 0.250
Pt2 0.000 0.000 0.750
Pt3 0.333 0.667 0.574
Pt4 0.333 0.667 0.926
Pt5 0.667 0.333 0.074
Pt6 0.667 0.333 0.426
# total moment: 0.000 μB/atom
# calculated volume: 167.14 Å³ per cell
# formation energy: 1.72 eV/f.u.

(2)
# LaErAg PBE-GGA optimized geometry
data_LaErAg
_chemical_formula_sum 'La1 Er1 Ag1'
_cell_length_a 6.954
_cell_length_b 6.954
_cell_length_c 6.954
_cell_angle_alpha 149.49
_cell_angle_beta 149.49
_cell_angle_gamma 43.68
_space_group_name_H-M_alt 'P 1'
_space_group_IT_number 1
loop_
_space_group_symop_operation_xyz
'x,y,z'
loop_
_atom_site_label
_atom_site_fract_x
_atom_site_fract_y
_atom_site_fract_z
La1 0.000 0.000 0.000
Er1 0.296 0.296 0.000
Ag1 0.670 0.670 0.000
# total moment: 0.066 μB/atom
# calculated volume: 86.41 Å³ per cell
# formation energy: -0.50 eV/f.u.

(3)
# AlAgOs PBE-GGA optimized geometry
data_AlAgOs
_chemical_formula_sum 'Al1 Ag1 Os1'
_cell_length_a 5.523
_cell_length_b 5.523
_cell_length_c 5.523
_cell_angle_alpha 148.30
_cell_angle_beta 148.30
_cell_angle_gamma 45.44
_space_group_name_H-M_alt 'P 1'
_space_group_IT_number 1
loop_
_space_group_symop_operation_xyz
'x,y,z'
loop_
_atom_site_label
_atom_site_fract_x
_atom_site_fract_y
_atom_site_fract_z
Al1 0.000 0.000 0.000
Ag1 0.675 0.675 0.000
Os1 0.367 0.367 0.000
# total moment: 0.000 μB/atom
# calculated volume: 46.36 Å³ per cell
# formation energy: 0.57 eV/f.u.

(4)
# Sr3SnSb4 PBE-GGA optimized geometry
data_Sr3SnSb4
_chemical_formula_sum 'Sr3 Sn1 Sb4'
_cell_length_a 8.653
_cell_length_b 8.653
_cell_length_c 8.653
_cell_angle_alpha 138.91
_cell_angle_beta 64.49
_cell_angle_gamma 132.61
_space_group_name_H-M_alt 'P 1'
_space_group_IT_number 1
loop_
_space_group_symop_operation_xyz
'x,y,z'
loop_
_atom_site_label
_atom_site_fract_x
_atom_site_fract_y
_atom_site_fract_z
Sr1 0.000 0.000 0.000
Sr2 0.229 0.932 0.296
Sr3 0.636 0.932 0.704
Sn1 0.776 0.276 0.500
Sb1 0.120 0.442 0.678
Sb2 0.439 0.208 0.768
Sb3 0.439 0.671 0.232
Sb4 0.764 0.442 0.322
# total moment: 0.000 μB/atom
# formation energy from raw total energies: -0.519 eV/atom
# calculated volume: 309.17 Å³ per cell

(5)
# LiHgBr2 PBE-GGA optimized geometry
data_LiHgBr2
_chemical_formula_sum 'Li1 Hg1 Br2'
_cell_length_a 7.184
_cell_length_b 7.184
_cell_length_c 4.293
_cell_angle_alpha 92.83
_cell_angle_beta 92.83
_cell_angle_gamma 33.39
_space_group_name_H-M_alt 'P 1'
_space_group_IT_number 1
loop_
_space_group_symop_operation_xyz
'x,y,z'
loop_
_atom_site_label
_atom_site_fract_x
_atom_site_fract_y
_atom_site_fract_z
Li1 0.000 0.000 0.000
Hg1 0.690 0.690 0.636
Br1 0.191 0.191 0.138
Br2 0.460 0.460 0.681
# total moment: 0.000 μB/atom
# formation energy from raw total energies: -0.780 eV/atom
# calculated volume: 121.78 Å³ per cell

(6)
# Zr2NbAl2Fe5 PBE-GGA optimized geometry
data_Zr2NbAl2Fe5
_chemical_formula_sum 'Zr4 Nb2 Al4 Fe10'
_cell_length_a 9.383
_cell_length_b 9.383
_cell_length_c 3.299
_cell_angle_alpha 90.00
_cell_angle_beta 90.00
_cell_angle_gamma 90.00
_space_group_name_H-M_alt 'P 1'
_space_group_IT_number 1
loop_
_space_group_symop_operation_xyz
'x,y,z'
loop_
_atom_site_label
_atom_site_fract_x
_atom_site_fract_y
_atom_site_fract_z
Zr1 0.172 0.328 0.000
Zr2 0.328 0.828 0.000
Zr3 0.672 0.172 0.000
Zr4 0.828 0.672 0.000
Nb1 0.000 0.000 0.000
Nb2 0.500 0.500 0.000
Al1 0.125 0.625 0.000
Al2 0.375 0.125 0.000
Al3 0.625 0.875 0.000
Al4 0.875 0.375 0.000
Fe1 0.000 0.500 0.500
Fe2 0.065 0.799 0.500
Fe3 0.201 0.065 0.500
Fe4 0.299 0.565 0.500
Fe5 0.435 0.299 0.500
Fe6 0.500 0.000 0.500
Fe7 0.565 0.701 0.500
Fe8 0.701 0.435 0.500
Fe9 0.799 0.935 0.500
Fe10 0.935 0.201 0.500
# total moment: 0.208 μB/atom
# calculated volume: 290.48 Å³ per cell
# formation energy: -1.36 eV/f.u.

Among the records above, which one has the lowest calculated volume? AlAgOs